(1)
Below is a relaxed structure of HoTmCu, with properties calculated at the GGA-PBE level.

Calculated formation energy, eV/atom: 0.030
Total magnetic moment, μB per formula unit: 0.0
Relative energy among the computed polymorphs, meV/atom: 212

The structure in CIF format:
```
data_HoTmCu
_chemical_formula_sum 'Ho4 Tm4 Cu4'
_cell_length_a 6.782
_cell_length_b 6.782
_cell_length_c 6.782
_cell_angle_alpha 90.00
_cell_angle_beta 90.00
_cell_angle_gamma 90.00
_symmetry_space_group_name_H-M 'F -4 3 m'
_symmetry_Int_Tables_number 216
_symmetry_space_group_name_Hall 'F -4 2 3'
loop_
_atom_site_label
_atom_site_type_symbol
_atom_site_fract_x
_atom_site_fract_y
_atom_site_fract_z
Ho1 Ho 0.000 0.000 0.000
Tm1 Tm 0.000 0.000 0.500
Cu1 Cu 0.250 0.250 0.250
```

(2)
Below is a relaxed structure of Be2CrI, with properties calculated at the GGA-PBE level.

Total magnetic moment, μB per formula unit: 0.0
Relative energy among the computed polymorphs, meV/atom: 0
Raw formation energy, eV/atom: 1.24

The structure in CIF format:
```
data_Be2CrI
_chemical_formula_sum 'Be8 Cr4 I4'
_cell_length_a 6.788
_cell_length_b 6.788
_cell_length_c 5.226
_cell_angle_alpha 90.00
_cell_angle_beta 90.00
_cell_angle_gamma 90.00
_symmetry_space_group_name_H-M 'I -4 2 d'
_symmetry_Int_Tables_number 122
_symmetry_space_group_name_Hall 'I -4 2bw'
loop_
_atom_site_label
_atom_site_type_symbol
_atom_site_fract_x
_atom_site_fract_y
_atom_site_fract_z
Be1 Be 0.233 0.250 0.125
Cr1 Cr 0.000 0.000 0.000
I1 I 0.000 0.000 0.500
```

(3)
Below is a relaxed structure of Ac2TlRuO5, with properties calculated at the GGA-PBE level.

Total magnetic moment, μB per formula unit: 3.0
Raw formation energy, eV/atom: -2.11

The structure in CIF format:
```
data_Ac2TlRuO5
_chemical_formula_sum 'Ac4 Tl2 Ru2 O10'
_cell_length_a 7.309
_cell_length_b 7.309
_cell_length_c 5.933
_cell_angle_alpha 90.00
_cell_angle_beta 90.00
_cell_angle_gamma 90.00
_symmetry_space_group_name_H-M 'P 4/m b m'
_symmetry_Int_Tables_number 127
_symmetry_space_group_name_Hall '-P 4 2ab'
loop_
_atom_site_label
_atom_site_type_symbol
_atom_site_fract_x
_atom_site_fract_y
_atom_site_fract_z
Ac1 Ac 0.181 0.319 0.000
Tl1 Tl 0.000 0.000 0.500
Ru1 Ru 0.000 0.500 0.500
O1 O 0.000 0.000 0.000
O2 O 0.127 0.627 0.255
```

(4)
Below is a relaxed structure of LaAl2GaCu2, with properties calculated at the GGA-PBE level.

Calculated formation energy, eV/atom: -0.127
Total magnetic moment, μB per formula unit: 0.0

The structure in CIF format:
```
data_LaAl2GaCu2
_chemical_formula_sum 'La1 Al2 Ga1 Cu2'
_cell_length_a 4.516
_cell_length_b 4.516
_cell_length_c 5.763
_cell_angle_alpha 90.00
_cell_angle_beta 90.00
_cell_angle_gamma 90.00
_symmetry_space_group_name_H-M 'P 4/m m m'
_symmetry_Int_Tables_number 123
_symmetry_space_group_name_Hall '-P 4 2'
loop_
_atom_site_label
_atom_site_type_symbol
_atom_site_fract_x
_atom_site_fract_y
_atom_site_fract_z
La1 La 0.000 0.000 0.000
Al1 Al 0.500 0.500 0.240
Ga1 Ga 0.000 0.000 0.500
Cu1 Cu 0.000 0.500 0.500
```

(5)
Below is a relaxed structure of RbNaCu2Br5, with properties calculated at the GGA-PBE level.

Total magnetic moment, μB per formula unit: 0.0
Raw formation energy, eV/atom: -0.88

The structure in CIF format:
```
data_RbNaCu2Br5
_chemical_formula_sum 'Rb1 Na1 Cu2 Br5'
_cell_length_a 4.998
_cell_length_b 4.998
_cell_length_c 10.079
_cell_angle_alpha 90.00
_cell_angle_beta 90.00
_cell_angle_gamma 90.00
_symmetry_space_group_name_H-M 'P 4/m m m'
_symmetry_Int_Tables_number 123
_symmetry_space_group_name_Hall '-P 4 2'
loop_
_atom_site_label
_atom_site_type_symbol
_atom_site_fract_x
_atom_site_fract_y
_atom_site_fract_z
Rb1 Rb 0.000 0.000 0.000
Na1 Na 0.000 0.000 0.500
Cu1 Cu 0.500 0.500 0.260
Br1 Br 0.000 0.500 0.306
Br2 Br 0.500 0.500 0.000
```

(6)
Below is a relaxed structure of Pm8Si3I4Br, with properties calculated at the GGA-PBE level.

Total magnetic moment, μB per formula unit: 0.0
Raw formation energy, eV/atom: -0.97

The structure in CIF format:
```
data_Pm8Si3I4Br
_chemical_formula_sum 'Pm24 Si9 I12 Br3'
_cell_length_a 8.6345
_cell_length_b 8.6345
_cell_length_c 22.7446
_cell_angle_alpha 90.00
_cell_angle_beta 90.00
_cell_angle_gamma 120.00
_symmetry_space_group_name_H-M 'R -3 m'
_symmetry_Int_Tables_number 166
_symmetry_space_group_name_Hall '-R 3 2"'
loop_
_atom_site_label
_atom_site_type_symbol
_atom_site_fract_x
_atom_site_fract_y
_atom_site_fract_z
Pm1 Pm 0.0000 0.0000 0.2319
Pm2 Pm 0.0212 0.5106 0.7676
Si1 Si 0.0000 0.5000 0.5000
I1 I 0.0000 0.0000 0.0000
I2 I 0.0000 0.5000 0.0000
Br1 Br 0.0000 0.0000 0.5000
```

(7)
Below is a relaxed structure of Pm5SnC, with properties calculated at the GGA-PBE level.

Calculated formation energy, eV/atom: -0.185
Total magnetic moment, μB per formula unit: 0.0

The structure in CIF format:
```
data_Pm5SnC
_chemical_formula_sum 'Pm20 Sn4 C4'
_cell_length_a 11.782
_cell_length_b 6.760
_cell_length_c 10.921
_cell_angle_alpha 90.00
_cell_angle_beta 111.17
_cell_angle_gamma 90.00
_symmetry_space_group_name_H-M 'C 1 2/c 1'
_symmetry_Int_Tables_number 15
loop_
_symmetry_equiv_pos_as_xyz
'x,y,z'
'-x,-y,-z'
'-x,y,-z+1/2'
'x,-y,z+1/2'
'x+1/2,y+1/2,z'
'-x+1/2,-y+1/2,-z'
'-x+1/2,y+1/2,-z+1/2'
'x+1/2,-y+1/2,z+1/2'
loop_
_atom_site_label
_atom_site_type_symbol
_atom_site_fract_x
_atom_site_fract_y
_atom_site_fract_z
Pm1 Pm 0.000 0.026 0.250
Pm2 Pm 0.116 0.310 0.041
Pm3 Pm 0.198 0.170 0.624
Sn1 Sn 0.000 0.485 0.750
C1 C 0.000 0.000 0.000
```

(8)
Below is a relaxed structure of CaTa2Mn, with properties calculated at the GGA-PBE level.

Calculated formation energy, eV/atom: 0.573
Total magnetic moment, μB per formula unit: 0.0
Relative energy among the computed polymorphs, meV/atom: 178

The structure in CIF format:
```
data_CaTa2Mn
_chemical_formula_sum 'Ca2 Ta4 Mn2'
_cell_length_a 3.205
_cell_length_b 4.732
_cell_length_c 9.880
_cell_angle_alpha 90.00
_cell_angle_beta 90.00
_cell_angle_gamma 90.00
_symmetry_space_group_name_H-M 'I m m 2'
_symmetry_Int_Tables_number 44
loop_
_symmetry_equiv_pos_as_xyz
'x,y,z'
'-x,-y,z'
'-x,y,z'
'x,-y,z'
'x+1/2,y+1/2,z+1/2'
'-x+1/2,-y+1/2,z+1/2'
'-x+1/2,y+1/2,z+1/2'
'x+1/2,-y+1/2,z+1/2'
loop_
_atom_site_label
_atom_site_type_symbol
_atom_site_fract_x
_atom_site_fract_y
_atom_site_fract_z
Ca1 Ca 0.000 0.000 0.000
Ta1 Ta 0.000 0.000 0.416
Ta2 Ta 0.000 0.500 0.216
Mn1 Mn 0.000 0.500 0.738
```

(9)
Below is a relaxed structure of TbDyMgOs, with properties calculated at the GGA-PBE level.

Calculated formation energy, eV/atom: -0.193
Total magnetic moment, μB per formula unit: 0.0
Relative energy among the computed polymorphs, meV/atom: 0

The structure in CIF format:
```
data_TbDyMgOs
_chemical_formula_sum 'Tb1 Dy1 Mg1 Os1'
_cell_length_a 3.404
_cell_length_b 3.404
_cell_length_c 8.515
_cell_angle_alpha 90.00
_cell_angle_beta 90.00
_cell_angle_gamma 90.00
_symmetry_space_group_name_H-M 'P 4 m m'
_symmetry_Int_Tables_number 99
loop_
_symmetry_equiv_pos_as_xyz
'x,y,z'
'-y,x,z'
'-x,-y,z'
'y,-x,z'
'-x,y,z'
'y,x,z'
'x,-y,z'
'-y,-x,z'
loop_
_atom_site_label
_atom_site_type_symbol
_atom_site_fract_x
_atom_site_fract_y
_atom_site_fract_z
Tb1 Tb 0.000 0.000 0.000
Dy1 Dy 0.000 0.000 0.608
Mg1 Mg 0.500 0.500 0.305
Os1 Os 0.500 0.500 0.803
```

(10)
Below is a relaxed structure of LaY2Ni, with properties calculated at the GGA-PBE level.

Calculated formation energy, eV/atom: -0.217
Total magnetic moment, μB per formula unit: 0.0
Relative energy among the computed polymorphs, meV/atom: 0

The structure in CIF format:
```
data_LaY2Ni
_chemical_formula_sum 'La4 Y8 Ni4'
_cell_length_a 6.992
_cell_length_b 9.770
_cell_length_c 6.508
_cell_angle_alpha 90.00
_cell_angle_beta 90.00
_cell_angle_gamma 90.00
_symmetry_space_group_name_H-M 'P n m a'
_symmetry_Int_Tables_number 62
loop_
_symmetry_equiv_pos_as_xyz
'x,y,z'
'-x,-y,-z'
'-x+1/2,-y,z+1/2'
'x+1/2,y,-z+1/2'
'x+1/2,-y+1/2,-z+1/2'
'-x+1/2,y+1/2,z+1/2'
'-x,y+1/2,-z'
'x,-y+1/2,z'
loop_
_atom_site_label
_atom_site_type_symbol
_atom_site_fract_x
_atom_site_fract_y
_atom_site_fract_z
La1 La 0.038 0.250 0.143
Y1 Y 0.172 0.068 0.676
Ni1 Ni 0.118 0.750 0.438
```

(11)
Below is a relaxed structure of RbP3C, with properties calculated at the GGA-PBE level.

Calculated formation energy, eV/atom: 1.300
Total magnetic moment, μB per formula unit: 0.0
Relative energy among the computed polymorphs, meV/atom: 0

The structure in CIF format:
```
data_RbP3C
_chemical_formula_sum 'Rb1 P3 C1'
_cell_length_a 4.464
_cell_length_b 4.464
_cell_length_c 4.464
_cell_angle_alpha 90.00
_cell_angle_beta 90.00
_cell_angle_gamma 90.00
_symmetry_space_group_name_H-M 'P m -3 m'
_symmetry_Int_Tables_number 221
_symmetry_space_group_name_Hall '-P 4 2 3'
loop_
_atom_site_label
_atom_site_type_symbol
_atom_site_fract_x
_atom_site_fract_y
_atom_site_fract_z
Rb1 Rb 0.000 0.000 0.000
P1 P 0.000 0.500 0.500
C1 C 0.500 0.500 0.500
```

(12)
Below is a relaxed structure of TaNiSN2, with properties calculated at the GGA-PBE level.

Total magnetic moment, μB per formula unit: 0.0
Relative energy among the computed polymorphs, meV/atom: 479
Raw formation energy, eV/atom: 0.96

The structure in CIF format:
```
data_TaNiSN2
_chemical_formula_sum 'Ta1 Ni1 S1 N2'
_cell_length_a 3.725
_cell_length_b 3.725
_cell_length_c 4.225
_cell_angle_alpha 90.00
_cell_angle_beta 90.00
_cell_angle_gamma 90.00
_symmetry_space_group_name_H-M 'P 4/m m m'
_symmetry_Int_Tables_number 123
_symmetry_space_group_name_Hall '-P 4 2'
loop_
_atom_site_label
_atom_site_type_symbol
_atom_site_fract_x
_atom_site_fract_y
_atom_site_fract_z
Ta1 Ta 0.000 0.000 0.000
Ni1 Ni 0.500 0.500 0.500
S1 S 0.500 0.500 0.000
N1 N 0.000 0.500 0.500
```